Entry 1:
First-principles (PBE) data for a geometry-optimized ScHg4P structure, as listed in Alexandria.

a = 8.2501 Å, b = 8.2501 Å, c = 8.2501 Å
α = 90.00°, β = 90.00°, γ = 90.00°
Last column: nearest neighbours and their distance in Å.
Space group F-43m (No. 216)
Asymmetric unit:
Sc (0.0000, 0.0000, 0.0000) [4 per cell]  12 Hg 3.42, 4 P 3.57
Hg (0.1248, 0.1248, 0.6248) [16 per cell]  6 Hg 2.91-2.92
P (0.2500, 0.2500, 0.2500) [4 per cell]  12 Hg 3.42, 4 Sc 3.57

E_tot: -44.20 eV for the cell shown
E_form: 0.3166 eV per atom
volume: 562 Å³/cell

---

Entry 2:
First-principles (PBE) data for a geometry-optimized In2CuRu structure, as listed in Alexandria.

a = 3.5348 Å, b = 3.5489 Å, c = 5.6942 Å
α = 90.00°, β = 90.00°, γ = 90.00°
Last column: nearest neighbours and their distance in Å.
Space group Pmm2 (No. 25)
Asymmetric unit:
In (0.0000, 0.0000, 0.0000) [1 per cell]  2 Ru 2.71-2.99, 4 Cu 2.78
In (0.5000, 0.5000, 0.3228) [1 per cell]  1 Cu 2.64, 4 Ru 2.76
Cu (0.5000, 0.5000, 0.7863) [1 per cell]  5 In 2.64-2.78, 4 Ru 2.91
Ru (0.0000, 0.0000, 0.5249) [1 per cell]  6 In 2.71-2.99, 4 Cu 2.91

E_tot: -18.08 eV for the cell shown
E_form: 0.1918 eV per atom
volume: 71 Å³/cell

---

Entry 3:
First-principles (PBE) data for a geometry-optimized YThZn17 structure, as listed in Alexandria.

a = 9.0246 Å, b = 9.0246 Å, c = 13.2000 Å
α = 90.00°, β = 90.00°, γ = 120.00°
Last column: nearest neighbours and their distance in Å.
Space group R3m (No. 160, hexagonal axes)
Asymmetric unit:
Y (0.0000, 0.0000, 0.0000) [3 per cell]  19 Zn 3.11-3.47
Th (0.0000, 0.0000, 0.3277) [3 per cell]  19 Zn 3.15-3.45
Zn (0.0000, 0.0000, 0.5660) [3 per cell]  7 Zn 2.62-2.90
Zn (0.0000, 0.0000, 0.7644) [3 per cell]  7 Zn 2.62-2.87
Zn (0.0012, 0.5006, 0.1636) [9 per cell]  10 Zn 2.59-2.76
Zn (0.0017, 0.2953, 0.6642) [18 per cell]  8 Zn 2.59-2.76
Zn (0.0099, 0.5050, 0.8168) [9 per cell]  8 Zn 2.56-2.76
Zn (0.1703, 0.3406, 0.8448) [9 per cell]  9 Zn 2.56-2.87

E_tot: -119.32 eV for the cell shown
E_form: -0.2227 eV per atom
volume: 931 Å³/cell

---

Entry 4:
First-principles (PBE) data for a geometry-optimized NbSiPCl2 structure, as listed in Alexandria.

a = 4.7817 Å, b = 4.7817 Å, c = 5.0697 Å
α = 90.00°, β = 90.00°, γ = 90.00°
Last column: nearest neighbours and their distance in Å.
Space group P4/mmm (No. 123)
Asymmetric unit:
Nb (0.0000, 0.0000, 0.0000) [1 per cell]  4 Cl 2.39, 2 P 2.53
Si (0.5000, 0.5000, 0.5000) [1 per cell]  4 P 3.38, 8 Cl 3.48
P (0.0000, 0.0000, 0.5000) [1 per cell]  2 Nb 2.53
Cl (0.0000, 0.5000, 0.0000) [2 per cell]  2 Nb 2.39

E_tot: -23.44 eV for the cell shown
polymorph energy (0 for the lowest one): 0 meV/atom
volume: 116 Å³/cell

---

Entry 5:
First-principles (PBE) data for a geometry-optimized SrMg5Ag2 structure, as listed in Alexandria.

a = 4.5122 Å, b = 8.3884 Å, c = 10.5005 Å
α = 90.00°, β = 90.00°, γ = 90.00°
Last column: nearest neighbours and their distance in Å.
Space group Immm (No. 71)
Asymmetric unit:
Sr (0.0000, 0.0000, 0.0000) [2 per cell]  4 Ag 3.40
Mg (0.0000, 0.1838, 0.3429) [8 per cell]  3 Ag 2.80-2.93, 1 Mg 3.08
Mg (0.0000, 0.5000, 0.0000) [2 per cell]  2 Ag 2.71
Ag (0.0000, 0.5000, 0.2584) [4 per cell]  7 Mg 2.71-2.93

E_tot: -33.51 eV for the cell shown
E_form: -0.1748 eV per atom
volume: 397 Å³/cell

---

Entry 6:
First-principles (PBE) data for a geometry-optimized NdTiAs structure, as listed in Alexandria.

a = 4.0528 Å, b = 4.0528 Å, c = 7.9665 Å
α = 90.00°, β = 90.00°, γ = 90.00°
Last column: nearest neighbours and their distance in Å.
Space group P4/nmm (No. 129, origin choice 2)
Asymmetric unit:
Nd (0.2500, 0.2500, 0.1490) [2 per cell]  5 As 3.03-3.36
Ti (0.2500, 0.7500, 0.5000) [2 per cell]  4 As 2.72, 4 Ti 2.87
As (0.2500, 0.2500, 0.7272) [2 per cell]  4 Ti 2.72, 4 Nd 3.03

E_tot: -40.35 eV for the cell shown
E_form: -0.9538 eV per atom
volume: 131 Å³/cell

---

Entry 7:
First-principles (PBE) data for a geometry-optimized ScRe2Au structure, as listed in Alexandria.

a = 2.9565 Å, b = 3.9720 Å, c = 5.8382 Å
α = 90.00°, β = 94.44°, γ = 90.00°
Last column: nearest neighbours and their distance in Å.
Space group Pm (No. 6)
Asymmetric unit:
Sc (0.0000, 0.0000, 0.0000) [1 per cell]  5 Re 2.74-3.06, 4 Au 2.84, 2 Sc 2.96
Re (0.1015, 0.0000, 0.5377) [1 per cell]  2 Re 2.51, 1 Sc 2.74
Re (0.5137, 0.5000, 0.7166) [1 per cell]  2 Re 2.51, 1 Au 2.79
Au (0.5385, 0.5000, 0.2391) [1 per cell]  6 Re 2.79-3.05, 4 Sc 2.84, 2 Au 2.96

E_tot: -34.59 eV for the cell shown
E_form: -0.0215 eV per atom
polymorph energy (0 for the lowest one): 102 meV/atom
volume: 68 Å³/cell

---

Entry 8:
First-principles (PBE) data for a geometry-optimized B3RhC structure, as listed in Alexandria.

a = 4.0482 Å, b = 4.0482 Å, c = 4.0482 Å
α = 90.00°, β = 90.00°, γ = 90.00°
Last column: nearest neighbours and their distance in Å.
Space group Pm-3m (No. 221)
Asymmetric unit:
B (0.0000, 0.0000, 0.5000) [3 per cell]  2 Rh 2.02
Rh (0.0000, 0.0000, 0.0000) [1 per cell]  6 B 2.02
C (0.5000, 0.5000, 0.5000) [1 per cell]  12 B 2.86

E_tot: -25.43 eV for the cell shown
E_form: 2.2357 eV per atom
polymorph energy (0 for the lowest one): 770 meV/atom
volume: 66 Å³/cell